PBE ZrAs2RuBr, relaxed; final energy = -26.56 eV/cell; ΔE to the lowest computed polymorph = 0.000 eV/atom; formation energy from raw total energies = 2.24 eV per formula unit; symmetry = P4/mmm, No. 123
1.0
-0.2670 4.1278 -2.3232
1.9473 -2.0255 -3.8227
-4.5770 -1.2388 -1.6751
Ru As Br Zr
1 2 1 1
Cartesian
0.0000 0.0000 0.0000
0.9736 -1.0128 -1.9113
-0.1335 2.0639 -1.1616
-2.2885 -0.6194 -0.8376
-1.4484 0.4318 -3.9105

---

PBE ZrAs2RuBr, relaxed; final energy = -24.95 eV/cell; ΔE to the lowest computed polymorph = 0.322 eV/atom; formation energy from raw total energies = 3.85 eV per formula unit; symmetry = P4/mmm, No. 123
1.0
-0.5769 -3.9730 -3.2937
0.1618 -3.3265 3.9843
-5.1862 0.3418 0.4960
Ru As Br Zr
1 2 1 1
Cartesian
-2.8006 -3.4789 0.5933
0.0809 -1.6633 1.9921
-0.2884 -1.9865 -1.6469
-2.5931 0.1709 0.2480
0.0000 0.0000 0.0000

---

Repeat the second record exactly.
PBE ZrAs2RuBr, relaxed; final energy = -24.95 eV/cell; ΔE to the lowest computed polymorph = 0.322 eV/atom; formation energy from raw total energies = 3.85 eV per formula unit; symmetry = P4/mmm, No. 123
1.0
-0.5769 -3.9730 -3.2937
0.1618 -3.3265 3.9843
-5.1862 0.3418 0.4960
Ru As Br Zr
1 2 1 1
Cartesian
-2.8006 -3.4789 0.5933
0.0809 -1.6633 1.9921
-0.2884 -1.9865 -1.6469
-2.5931 0.1709 0.2480
0.0000 0.0000 0.0000